[1]
Cs12Ba3F5 PBE-GGA optimized geometry; energy relative to the elements, uncorrected = -21.61 eV/f.u.; total moment = 21.67 μB/cell
1.0
-10.694 10.694 10.694
10.694 -10.694 10.694
10.694 10.694 -10.694
Cs Ba F
48 12 20
Direct
0.020 0.693 0.111
0.020 0.827 0.909
0.082 0.673 0.693
0.082 0.909 0.389
0.091 0.611 0.918
0.091 0.980 0.173
0.111 0.020 0.693
0.111 0.591 0.418
0.173 0.091 0.980
0.173 0.582 0.193
0.193 0.173 0.582
0.193 0.520 0.611
0.307 0.889 0.980
0.307 0.918 0.327
0.327 0.307 0.918
0.327 0.520 0.409
0.389 0.082 0.909
0.389 0.807 0.480
0.409 0.327 0.520
0.409 0.582 0.889
0.418 0.111 0.591
0.418 0.807 0.827
0.480 0.389 0.807
0.480 0.591 0.673
0.520 0.409 0.327
0.520 0.611 0.193
0.582 0.193 0.173
0.582 0.889 0.409
0.591 0.418 0.111
0.591 0.673 0.480
0.611 0.193 0.520
0.611 0.918 0.091
0.673 0.480 0.591
0.673 0.693 0.082
0.693 0.082 0.673
0.693 0.111 0.020
0.807 0.480 0.389
0.807 0.827 0.418
0.827 0.418 0.807
0.827 0.909 0.020
0.889 0.409 0.582
0.889 0.980 0.307
0.909 0.020 0.827
0.909 0.389 0.082
0.918 0.091 0.611
0.918 0.327 0.307
0.980 0.173 0.091
0.980 0.307 0.889
0.125 0.250 0.375
0.125 0.375 0.750
0.250 0.375 0.125
0.250 0.875 0.625
0.375 0.125 0.250
0.375 0.750 0.125
0.625 0.250 0.875
0.625 0.875 0.750
0.750 0.125 0.375
0.750 0.625 0.875
0.875 0.625 0.250
0.875 0.750 0.625
0.000 0.000 0.000
0.000 0.000 0.500
0.000 0.500 0.000
0.000 0.500 0.500
0.125 0.750 0.875
0.125 0.875 0.250
0.250 0.125 0.875
0.250 0.625 0.375
0.375 0.250 0.625
0.375 0.625 0.750
0.500 0.000 0.000
0.500 0.000 0.500
0.500 0.500 0.000
0.500 0.500 0.500
0.625 0.375 0.250
0.625 0.750 0.375
0.750 0.375 0.625
0.750 0.875 0.125
0.875 0.125 0.750
0.875 0.250 0.125

---

[2]
Hf3Ti3In2 PBE-GGA optimized geometry; distance to the lowest polymorph of the same formula = 0 meV/atom; total moment = 0.00 μB/cell; energy of formation from the pure elements = -111 meV/atom
1.0
4.308 0.000 0.000
0.000 4.315 0.000
0.000 0.000 8.557
Hf Ti In
3 3 2
Direct
0.000 0.000 0.000
0.000 0.500 0.257
0.000 0.500 0.743
0.000 0.000 0.500
0.500 0.500 0.000
0.500 0.500 0.500
0.500 0.000 0.256
0.500 0.000 0.744

---

[3]
MgBeF4 PBE-GGA optimized geometry; energy relative to the elements, uncorrected = -18.79 eV/f.u.; distance to the lowest polymorph of the same formula = 224 meV/atom; total moment = 0.00 μB/cell
1.0
5.175 -1.456 0.000
5.175 1.456 0.000
-2.348 0.000 4.354
Mg Be F
1 1 4
Direct
0.000 0.000 0.000
0.500 0.500 0.500
0.105 0.105 0.748
0.404 0.404 0.698
0.596 0.596 0.302
0.895 0.895 0.252

---

[4]
Ca2MoIr PBE-GGA optimized geometry; distance to the lowest polymorph of the same formula = 193 meV/atom; total moment = 0.00 μB/cell; energy of formation from the pure elements = 208 meV/atom
1.0
-1.973 2.555 4.788
1.973 -2.555 4.788
1.973 2.555 -4.788
Ca Mo Ir
2 1 1
Direct
0.000 0.000 0.000
0.718 0.218 0.500
0.416 0.416 0.000
0.275 0.775 0.500

---

[5]
LaErCo PBE-GGA optimized geometry; distance to the lowest polymorph of the same formula = 44 meV/atom; total moment = 0.00 μB/cell; energy of formation from the pure elements = -101 meV/atom
1.0
-2.742 5.281 2.765
2.742 -5.281 2.765
2.742 5.281 -2.765
La Er Co
2 2 2
Direct
0.000 0.000 0.000
0.500 0.000 0.500
0.272 0.522 0.750
0.728 0.478 0.250
0.224 0.974 0.250
0.776 0.026 0.750

---

[6]
Pr8PS3Br4 PBE-GGA optimized geometry; energy relative to the elements, uncorrected = -25.39 eV/f.u.; total moment = 0.00 μB/cell
1.0
4.066 2.348 7.622
-4.066 2.348 7.622
0.000 -4.695 7.622
Pr P S Br
8 1 3 4
Direct
0.233 0.735 0.735
0.234 0.234 0.234
0.265 0.265 0.767
0.265 0.767 0.265
0.735 0.233 0.735
0.735 0.735 0.233
0.766 0.766 0.766
0.767 0.265 0.265
0.500 0.500 0.500
0.000 0.000 0.500
0.000 0.500 0.000
0.500 0.000 0.000
0.000 0.000 0.000
0.000 0.500 0.500
0.500 0.000 0.500
0.500 0.500 0.000

---

[7]
Tb8Mg3Co2 PBE-GGA optimized geometry; total moment = 0.00 μB/cell; energy of formation from the pure elements = 3 meV/atom
1.0
9.494 -3.294 0.000
9.494 3.294 0.000
-1.721 0.000 5.806
Tb Mg Co
8 3 2
Direct
0.088 0.588 0.168
0.094 0.094 0.239
0.299 0.299 0.636
0.412 0.912 0.832
0.588 0.088 0.168
0.701 0.701 0.364
0.906 0.906 0.761
0.912 0.412 0.832
0.274 0.726 0.500
0.500 0.500 0.000
0.726 0.274 0.500
0.225 0.225 0.187
0.775 0.775 0.813

---

[8]
MgZr2Te PBE-GGA optimized geometry; energy relative to the elements, uncorrected = 0.12 eV/f.u.; distance to the lowest polymorph of the same formula = 327 meV/atom; total moment = 0.00 μB/cell
1.0
-2.114 2.114 10.848
2.114 -2.114 10.848
2.114 2.114 -10.848
Mg Zr Te
2 4 2
Direct
0.000 0.000 0.000
0.750 0.250 0.500
0.132 0.625 0.007
0.375 0.382 0.507
0.618 0.125 0.993
0.875 0.868 0.493
0.250 0.750 0.500
0.500 0.500 0.000

---

Question: total moment of number 5 (LaErCo)?
Answer: 0.00 μB/cell

---

Question: Which of these has the highest total moment?
Answer: Cs12Ba3F5